No. 1
ScSeBr2Cl after structural relaxation, computed with GGA-PBE.

Geometry as POSCAR:
```
ScSeBr2Cl
1.0
-4.3196 2.7923 -0.5537
-2.3541 -2.9381 3.5480
1.7221 3.4584 4.0064
Sc Se Br Cl
1 1 2 1
Cartesian
0.0000 0.0000 0.0000
0.8610 1.7292 2.0032
-1.1770 -1.4690 1.7740
-2.1598 1.3962 -0.2769
-2.4758 1.6563 3.5004
```

Computed properties:
The formation energy without anion corrections is -0.72 eV/atom. Its excess energy over the best structure of this formula in the dataset is 0 meV/atom. For the magnetic moment, the calculation gives 2.017 μB/f.u. Its crystal system is tetragonal.

No. 2
ScTlBrCl2 after structural relaxation, computed with GGA-PBE.

Geometry as POSCAR:
```
ScTlBrCl2
1.0
-1.1813 -1.4958 -4.7176
-3.7893 -2.8465 1.8514
-3.4506 4.2741 -0.4911
Sc Tl Br Cl
1 1 1 2
Cartesian
0.0000 0.0000 0.0000
-4.2106 -0.0341 -1.6787
-1.7253 2.1370 -0.2456
-1.8946 -1.4232 0.9257
-0.5907 -0.7479 -2.3588
```

Computed properties:
The formation energy without anion corrections is -1.38 eV/atom. For the magnetic moment, the calculation gives 0.958 μB/f.u. Its crystal system is tetragonal.

No. 3
SeBrCl after structural relaxation, computed with GGA-PBE.

Geometry as POSCAR:
```
SeBrCl
1.0
-3.8243 -5.0504 -5.4896
-4.9210 -5.4801 -1.0044
-2.0717 1.9400 -3.6673
Br Cl Se
1 1 1
Cartesian
-8.4767 -10.0285 -6.3802
-6.8115 -6.9169 -5.6749
-4.2742 -2.1756 -4.6002
```

Computed properties:
The formation energy without anion corrections is -0.06 eV/atom. Its excess energy over the best structure of this formula in the dataset is 116 meV/atom. For the magnetic moment, the calculation gives 0.000 μB/f.u. Its crystal system is orthorhombic.

No. 4
SeBrCl4 after structural relaxation, computed with GGA-PBE.

Geometry as POSCAR:
```
SeBrCl4
1.0
6.1267 0.4119 -2.2493
-2.8669 5.4302 -2.2492
-0.2301 -0.4120 6.5222
Se Br Cl
1 1 4
Cartesian
1.6299 2.9211 -2.2492
3.7633 1.4604 1.0118
0.7448 1.3751 2.3107
2.2915 4.0670 -0.2960
-0.4283 4.0740 -2.2285
3.4514 1.3443 4.2613
```

Computed properties:
The formation energy without anion corrections is 0.10 eV/atom. Its excess energy over the best structure of this formula in the dataset is 0 meV/atom. For the magnetic moment, the calculation gives 1.000 μB/f.u. Its crystal system is tetragonal.

No. 5
SeBrCl after structural relaxation, computed with GGA-PBE.

Geometry as POSCAR:
```
SeBrCl
1.0
6.6101 -0.3668 0.0000
4.2545 5.0722 0.0000
-5.4323 -2.3527 2.9636
Br Cl Se
1 1 1
Cartesian
10.0760 4.3638 0.0000
6.8141 2.9511 0.0000
4.8391 2.0958 0.0000
```

Computed properties:
The formation energy without anion corrections is 0.02 eV/atom. Its excess energy over the best structure of this formula in the dataset is 194 meV/atom. For the magnetic moment, the calculation gives 0.000 μB/f.u. Its crystal system is tetragonal.

No. 6
SeBrCl2 after structural relaxation, computed with GGA-PBE.

Geometry as POSCAR:
```
SeBrCl2
1.0
-2.3768 3.5149 0.2528
-5.0307 -3.2253 -2.4542
-7.2363 -2.9503 18.7105
Se Br Cl
4 4 8
Cartesian
-9.8053 -1.7735 5.4296
-4.8385 -0.8872 11.0795
-4.9214 0.7345 0.6248
-9.7224 -3.3952 15.8843
-10.1627 -3.6479 13.5706
-4.4811 0.9872 2.9385
-6.4976 -1.9805 12.3690
-8.1462 -0.6802 4.1402
-2.0697 -0.3606 -0.0807
-12.5740 -2.3001 16.5898
-8.0906 -2.7895 6.9506
-6.5532 0.1288 9.5585
-9.2282 -1.1710 15.8143
-5.4156 -1.4897 0.6948
-10.4527 -1.3552 10.0639
-4.1911 -1.3054 6.4452
```

Computed properties:
The formation energy without anion corrections is -0.19 eV/atom. Its excess energy over the best structure of this formula in the dataset is 0 meV/atom. For the magnetic moment, the calculation gives 0.000 μB/f.u. Its crystal system is monoclinic.

No. 7
SeBrCl2 after structural relaxation, computed with GGA-PBE.

Geometry as POSCAR:
```
SeBrCl2
1.0
0.0163 3.4621 -1.9924
-2.9108 -1.8756 1.9912
2.6988 4.9308 8.5899
Se Br Cl
1 1 2
Cartesian
-0.7726 2.0259 2.1469
0.5768 4.4913 6.4418
0.2032 0.3713 0.6468
1.1462 2.0941 3.6482
```

Computed properties:
The formation energy without anion corrections is 0.08 eV/atom. Its excess energy over the best structure of this formula in the dataset is 270 meV/atom. For the magnetic moment, the calculation gives 0.153 μB/f.u. Its crystal system is orthorhombic.

No. 8
Se2BrCl after structural relaxation, computed with GGA-PBE.

Geometry as POSCAR:
```
Se2BrCl
1.0
5.3151 0.0129 0.0000
-1.5592 5.0813 0.0000
0.0000 0.0000 3.2063
Br Cl Se
1 1 2
Cartesian
2.6576 0.0064 1.6031
-0.7796 2.5406 1.6031
0.0000 0.0000 0.0000
1.8780 2.5471 0.0000
```

Computed properties:
The formation energy without anion corrections is 0.72 eV/atom. For the magnetic moment, the calculation gives 0.000 μB/f.u. Its crystal system is orthorhombic.

No. 9
Se2BrCl after structural relaxation, computed with GGA-PBE.

Geometry as POSCAR:
```
Se2BrCl
1.0
3.6536 0.0000 0.0000
0.0000 5.0513 0.1279
0.0000 -0.5108 6.7191
Br Cl Se
1 1 2
Cartesian
0.0000 2.1594 3.1736
1.8268 3.6091 5.4023
0.0000 0.3949 0.0156
1.8268 0.6474 1.6790
```

Computed properties:
The formation energy without anion corrections is 0.07 eV/atom. For the magnetic moment, the calculation gives 0.000 μB/f.u. Its crystal system is monoclinic.

No. 10
SeBr2Cl after structural relaxation, computed with GGA-PBE.

Geometry as POSCAR:
```
SeBr2Cl
1.0
-2.7414 -0.9056 1.8075
0.6652 -4.5312 -1.2613
4.9087 -2.2360 6.3246
Br Cl Se
2 1 1
Cartesian
5.2447 -6.2863 4.8049
-0.0484 -2.0574 2.1053
3.1870 -3.9453 2.8569
2.8101 -5.5344 4.6986
```

Computed properties:
The formation energy without anion corrections is 0.12 eV/atom. Its excess energy over the best structure of this formula in the dataset is 177 meV/atom. For the magnetic moment, the calculation gives 0.000 μB/f.u. Its crystal system is monoclinic.

No. 11
SeBr2Cl after structural relaxation, computed with GGA-PBE.

Geometry as POSCAR:
```
SeBr2Cl
1.0
-4.4800 1.7562 0.9326
2.6671 -3.6119 1.9660
3.1205 5.1670 5.2596
Br Cl Se
2 1 1
Cartesian
3.0364 5.0278 5.1179
1.6443 2.7227 2.7715
-0.1263 0.3639 2.7642
1.4339 2.9474 5.3940
```

Computed properties:
The formation energy without anion corrections is 0.16 eV/atom. Its excess energy over the best structure of this formula in the dataset is 215 meV/atom. For the magnetic moment, the calculation gives 0.000 μB/f.u. Its crystal system is orthorhombic.

No. 12
SeBr2Cl after structural relaxation, computed with GGA-PBE.

Geometry as POSCAR:
```
SeBr2Cl
1.0
6.4768 -0.0743 0.0412
1.6359 6.2672 -0.0412
-2.5543 -5.0641 3.1283
Br Cl Se
2 1 1
Cartesian
0.5333 0.4071 0.0000
4.0753 -0.9554 1.5847
3.4334 2.6209 0.0000
1.5728 2.1527 1.5435
```

Computed properties:
The formation energy without anion corrections is 0.10 eV/atom. Its excess energy over the best structure of this formula in the dataset is 164 meV/atom. For the magnetic moment, the calculation gives 0.092 μB/f.u. Its crystal system is orthorhombic.

> Which value of magnetic moment does entry 2 give?

0.958 μB/f.u.